Density functional theory data (PBE-GGA) for a relaxed VPd3Rh crystal.

Results
N(E_F) = 1.329 states/eV/atom
electronic total energy = -27.38 eV for the cell shown
symmetry = Pm-3m (221)
crystal system = cubic
calculated formation energy = 0.933 eV/atom

a b c (Å): 4.5164 4.5164 4.5164
angles (deg): 90.00 90.00 90.00
Each line ends with the local moment (μB).
Sites, in units of the cell vectors:
Pd1 0.0000 0.0000 0.5000  0.00
Rh1 0.5000 0.5000 0.5000  0.50
Pd2 0.0000 0.5000 0.0000  0.00
Pd3 0.5000 0.0000 0.0000  0.00
V1 0.0000 0.0000 0.0000  0.07